A relaxed Nd2PuO7 crystal. Source: Alexandria via LeMat-Bulk, functional GGA-PBE.

Results
**Crystal system**: monoclinic

Cell lengths 12.4910, 6.6696, 8.6621 Å; angles 90.00, 127.08, 90.00 degrees
With the nearest neighbours (Å) after each atom.
Space group C2/c (No. 15)
One atom of each set of equivalent atoms:
Nd 0.2023 0.0743 0.3013 (multiplicity 8)  7 O 2.36-2.50
Pu 0.0000 0.3347 0.7500 (multiplicity 4)  5 O 1.94-2.15
O 0.0000 0.0116 0.7500 (multiplicity 4)  1 Pu 2.15, 2 Nd 2.36
O 0.1142 0.2628 0.6676 (multiplicity 8)  1 Pu 2.00
O 0.1396 0.2958 0.0252 (multiplicity 8)  1 Pu 1.94
O 0.1513 0.4021 0.3569 (multiplicity 8)  1 Pu 2.32, 2 Nd 2.37-2.41, 1 O 2.54


A relaxed Nd2PuO5 crystal. Source: Alexandria via LeMat-Bulk, functional GGA-PBE.

Results
**Crystal system**: orthorhombic

Cell lengths 6.3829, 10.0648, 3.4904 Å; angles 90.00, 90.00, 90.00 degrees
With the nearest neighbours (Å) after each atom.
Space group Pbam (No. 55)
One atom of each set of equivalent atoms:
Nd 0.0247 0.1701 0.0000 (multiplicity 4)  8 O 2.45-2.62
Pu 0.0000 0.5000 0.5000 (multiplicity 2)  6 O 2.23-2.27
O 0.0000 0.0000 0.5000 (multiplicity 2)  4 Nd 2.45
O 0.1578 0.4061 0.0000 (multiplicity 4)  2 Pu 2.23, 1 Nd 2.46
O 0.1730 0.6974 0.5000 (multiplicity 4)  1 Pu 2.27, 2 Nd 2.53


A relaxed Nd6PuO12 crystal. Source: Alexandria via LeMat-Bulk, functional GGA-PBE.

Results
**Crystal system**: trigonal

Cell lengths 10.3242, 10.3242, 9.8429 Å; angles 90.00, 90.00, 120.00 degrees
With the nearest neighbours (Å) after each atom.
Space group R-3 (No. 148, hexagonal axes)
One atom of each set of equivalent atoms:
Nd 0.0427 0.2542 0.1432 (multiplicity 18)  6 O 2.33-2.52
Pu 0.0000 0.0000 0.5000 (multiplicity 3)  6 O 2.09
O 0.0348 0.2243 0.9018 (multiplicity 18)  4 Nd 2.33-2.39
O 0.0399 0.1908 0.3911 (multiplicity 18)  1 Pu 2.09


A relaxed NdPuO crystal. Source: Alexandria via LeMat-Bulk, functional GGA-PBE.

Results
**Crystal system**: orthorhombic

Cell lengths 5.3190, 12.8815, 3.2859 Å; angles 90.00, 90.00, 90.00 degrees
With the nearest neighbours (Å) after each atom.
Space group Cmcm (No. 63)
One atom of each set of equivalent atoms:
Nd 0.0000 0.1590 0.2500 (multiplicity 4)  4 O 2.52-2.69
Pu 0.0000 0.4366 0.2500 (multiplicity 4)  2 Pu 2.32, 2 O 2.34
O 0.0000 0.3072 0.7500 (multiplicity 4)  2 Pu 2.34, 2 Nd 2.52


A relaxed Nd2PuO crystal. Source: Alexandria via LeMat-Bulk, functional GGA-PBE.

Results
**Offset from the most stable computed form**: 0.000 eV per atom
**Crystal system**: trigonal

Cell lengths 3.5687, 3.5687, 28.4396 Å; angles 90.00, 90.00, 120.00 degrees
With the nearest neighbours (Å) after each atom.
Space group R-3m (No. 166, hexagonal axes)
One atom of each set of equivalent atoms:
Nd 0.0000 0.0000 0.1171 (multiplicity 6)  3 O 2.50
Pu 0.0000 0.0000 0.0000 (multiplicity 3)  2 Nd 3.33, 6 Pu 3.57
O 0.0000 0.0000 0.5000 (multiplicity 3)  6 Nd 2.50


A relaxed NdPuO crystal. Source: Alexandria via LeMat-Bulk, functional GGA-PBE.

Results
**Crystal system**: trigonal

Cell lengths 3.6150, 3.6150, 5.9020 Å; angles 90.00, 90.00, 120.00 degrees
With the nearest neighbours (Å) after each atom.
Space group P3m1 (No. 156)
One atom of each set of equivalent atoms:
Nd 0.0000 0.0000 0.0000 (multiplicity 1)  3 O 2.65
Pu 0.3333 0.6667 0.4719 (multiplicity 1)  3 O 2.38
O 0.6667 0.3333 0.2777 (multiplicity 1)  3 Pu 2.38, 3 Nd 2.65


A relaxed Rb3NdPu2O9 crystal. Source: Alexandria via LeMat-Bulk, functional GGA-PBE.

Results
**Crystal system**: trigonal

Cell lengths 6.1851, 6.1851, 7.5910 Å; angles 90.00, 90.00, 120.00 degrees
With the nearest neighbours (Å) after each atom.
Space group P-3m1 (No. 164)
One atom of each set of equivalent atoms:
Rb 0.0000 0.0000 0.0000 (multiplicity 1)  12 O 3.07-3.09
Rb 0.3333 0.6667 0.6635 (multiplicity 2)  12 O 3.10-3.12
Nd 0.0000 0.0000 0.5000 (multiplicity 1)  6 O 2.38
Pu 0.3333 0.6667 0.1598 (multiplicity 2)  6 O 2.03-2.16
O 0.0000 0.5000 0.0000 (multiplicity 3)  2 Pu 2.16
O 0.1789 0.3578 0.3152 (multiplicity 6)  1 Pu 2.03


A relaxed RbNd2PuO8 crystal. Source: Alexandria via LeMat-Bulk, functional GGA-PBE.

Results
**Crystal system**: triclinic

Cell lengths 4.6053, 5.2921, 8.2059 Å; angles 92.45, 94.57, 93.25 degrees
With the nearest neighbours (Å) after each atom.
Space group P-1 (No. 2)
One atom of each set of equivalent atoms:
Rb 0.0000 0.0000 0.0000 (multiplicity 1)  8 O 2.87-3.13
Nd 0.4362 0.4712 0.7192 (multiplicity 2)  7 O 2.37-2.53
Pu 0.0000 0.0000 0.5000 (multiplicity 1)  6 O 1.95-2.13
O 0.0847 0.7114 0.3243 (multiplicity 2)  1 Pu 2.13
O 0.2098 0.8654 0.6903 (multiplicity 2)  1 Pu 1.95
O 0.3357 0.2453 0.4640 (multiplicity 2)  1 Pu 2.01
O 0.4984 0.6433 0.0012 (multiplicity 2)  1 O 1.52


| no. | formation energy from raw total energies (meV/atom) |
| --- | --- |
| 1 | -2574.7 |
| 2 | -3220.2 |
| 3 | -3271.7 |
| 4 | -1510.3 |
| 5 | -1012.7 |
| 6 | -1511.1 |
| 7 | -2497.9 |
| 8 | -2458.5 |